Here is a relaxed structure of PaIn2HgTe4 from the Alexandria database. Energies are from PBE-GGA.

Cell lengths 7.591, 4.289, 8.902 Å; angles 90.00, 107.45, 90.00 degrees
Space group P2/m (No. 10)
Symmetry-distinct sites (fractional):
Pa (0.000, 0.000, 0.000) (multiplicity 1)
In (0.500, 0.000, 0.500) (multiplicity 1)
In (0.500, 0.500, 0.000) (multiplicity 1)
Hg (0.000, 0.500, 0.500) (multiplicity 1)
Te (0.231, 0.500, 0.215) (multiplicity 2)
Te (0.255, 0.000, 0.795) (multiplicity 2)

Density of states at the Fermi level: 0.56 states/eV/atom
Crystal system: monoclinic
Electronic total energy: -3.8691 eV per atom
Calculated volume: 276.5 Å³/cell
M_tot: 0.5 μB/f.u.
ΔE_f (raw): -0.389 eV per atom